No. 1
A plane-wave DFT calculation with PBE-GGA was carried out for a geometry-optimized Cs3SbSe3 structure.

Lattice parameters (Å, degrees): 7.274 11.067 11.066 119.90 90.00 90.00
Each line ends with the local moment (μB).
Positions (direct):
Se 0.750 0.195 0.806  0.14
Se 0.250 0.806 0.610  0.14
Se 0.750 0.194 0.390  0.14
Se 0.250 0.390 0.196  0.14
Se 0.250 0.805 0.194  0.14
Se 0.750 0.610 0.804  0.14
Sb 0.750 0.333 0.667  0.19
Sb 0.250 0.667 0.333  0.19
Cs 0.250 0.183 0.367  0.01
Cs 0.750 0.817 0.633  0.01
Cs 0.750 0.367 0.184  0.01
Cs 0.250 0.633 0.816  0.01
Cs 0.750 0.816 0.182  0.01
Cs 0.250 0.184 0.818  0.01

Computed properties:
crystal system: monoclinic
energy: -44.634 eV/cell
spin magnetization: 1.3 μB/f.u.

---

No. 2
A plane-wave DFT calculation with PBE-GGA was carried out for a geometry-optimized CsSb2Se2 structure.

Lattice parameters (Å, degrees): 4.640 4.640 8.044 73.24 73.24 90.00
Positions (direct):
Se 0.414 0.414 0.172
Se 0.586 0.586 0.828
Sb 0.250 0.750 0.500
Sb 0.750 0.250 0.500
Cs 0.000 0.000 0.000

Computed properties:
crystal system: tetragonal
energy: -17.037 eV/cell
spin magnetization: 0.0 μB/f.u.

---

No. 3
A plane-wave DFT calculation with PBE-GGA was carried out for a geometry-optimized CsSbSe2 structure.

Lattice parameters (Å, degrees): 8.252 8.252 7.750 57.83 57.83 90.00
Positions (direct):
Se 0.375 0.465 0.750
Se 0.535 0.125 0.250
Se 0.215 0.625 0.250
Se 0.875 0.785 0.750
Sb 0.250 0.750 0.500
Sb 0.500 0.500 0.000
Cs 0.000 0.000 0.000
Cs 0.750 0.250 0.500

Computed properties:
crystal system: tetragonal
energy: -28.545 eV/cell
spin magnetization: 0.0 μB/f.u.